[1]
The following is a PBE calculation of a geometry-optimized Hf2HBr structure, from Alexandria via LeMat-Bulk.

Structure (POSCAR):
```
Hf2HBr
1.0
-0.7765 0.9183 4.4173
-4.2910 0.1357 1.5899
-1.5119 -3.2980 2.7921
H Br Hf
1 1 2
Cartesian
0.0000 0.0000 0.0000 H
-3.2897 -1.1220 4.3996 Br
-4.9345 -1.6831 6.5995 Hf
-1.6448 -0.5610 2.1998 Hf
```

magnetic moment: 0.0 μB per cell
space group: No. 225
distance to the lowest polymorph of the same formula: 431 meV/atom

***

[2]
The following is a PBE calculation of a geometry-optimized HfH2I2Br2 structure, from Alexandria via LeMat-Bulk.

Structure (POSCAR):
```
HfH2I2Br2
1.0
4.1159 0.0000 0.0000
2.0579 7.6116 -0.7237
2.0579 1.0524 7.1090
I Br H Hf
2 2 2 1
Cartesian
4.1159 6.8645 1.2103 I
4.1159 1.7994 5.1750 I
4.1159 2.3570 0.8999 Br
4.1159 6.3070 5.4854 Br
2.0580 4.1153 2.8850 H
6.1738 4.5486 3.5003 H
0.0000 0.0000 0.0000 Hf
```

magnetic moment: 0.0 μB per cell
space group: No. 12

***

Calculated energy (eV/cell), listed in the same order as above: -22.9; -28.6